(1)
! Pm3Y4Er3 | the Alexandria database | PBE-GGA | relaxed; values from VASP
! - total magnetization (μB/atom) = 0.0000
! - SG = Amm2, No. 38
! - calculated total energy (eV per atom) = -5.268
&SYSTEM
  ibrav = 0, nat = 10, ntyp = 3
/
ATOMIC_SPECIES
Y 88.91 Y.upf
Pm 145.00 Pm.upf
Er 167.26 Er.upf
CELL_PARAMETERS angstrom
-1.1377 2.6875 -2.2608
-6.2325 2.8249 6.4945
6.4887 5.8044 3.6345
ATOMIC_POSITIONS crystal
Y 0.0000 0.8768 0.8722
Pm 0.5000 0.6729 0.6740
Er 0.0000 0.4946 0.9979
Er 0.0000 0.0021 0.5054
Y 0.0000 0.3727 0.6273
Y 0.0000 0.6263 0.3737
Pm 0.5000 0.3260 0.3271
Y 0.0000 0.1278 0.1232
Pm 0.5000 0.8273 0.1727
Er 0.5000 0.1735 0.8265

***

(2)
! Na3Sr2Li2 | the Alexandria database | PBE-GGA | relaxed; values from VASP
! - total magnetization (μB/atom) = 0.0000
! - SG = C2/m, No. 12
! - distance to the lowest polymorph of the same formula (eV/f.u.) = 0.000
&SYSTEM
  ibrav = 0, nat = 7, ntyp = 3
/
ATOMIC_SPECIES
Na 22.99 Na.upf
Sr 87.62 Sr.upf
Li 6.94 Li.upf
CELL_PARAMETERS angstrom
-1.6979 -4.4313 -1.0575
1.8881 0.3840 6.5357
-8.0728 2.9082 0.7755
ATOMIC_POSITIONS crystal
Na 0.6882 0.3764 0.8676
Na 0.3118 0.6236 0.1324
Sr 0.6299 0.2599 0.3591
Li 0.9182 0.8363 0.3511
Sr 0.3701 0.7401 0.6409
Na 0.0000 0.0000 0.0000
Li 0.0818 0.1637 0.6489

***

Copy entry 2 word for word.
! Na3Sr2Li2 | the Alexandria database | PBE-GGA | relaxed; values from VASP
! - total magnetization (μB/atom) = 0.0000
! - SG = C2/m, No. 12
! - distance to the lowest polymorph of the same formula (eV/f.u.) = 0.000
&SYSTEM
  ibrav = 0, nat = 7, ntyp = 3
/
ATOMIC_SPECIES
Na 22.99 Na.upf
Sr 87.62 Sr.upf
Li 6.94 Li.upf
CELL_PARAMETERS angstrom
-1.6979 -4.4313 -1.0575
1.8881 0.3840 6.5357
-8.0728 2.9082 0.7755
ATOMIC_POSITIONS crystal
Na 0.6882 0.3764 0.8676
Na 0.3118 0.6236 0.1324
Sr 0.6299 0.2599 0.3591
Li 0.9182 0.8363 0.3511
Sr 0.3701 0.7401 0.6409
Na 0.0000 0.0000 0.0000
Li 0.0818 0.1637 0.6489